(1)
Density functional theory data (PBE-GGA) for crystalline PuHfBi2 at its relaxed geometry.

Structure (CIF):
```
data_PuHfBi2
_symmetry_space_group_name_H-M 'P 1'
_symmetry_Int_Tables_number 1
_cell_length_a 4.211
_cell_length_b 4.211
_cell_length_c 8.171
_cell_angle_alpha 75.07
_cell_angle_beta 75.07
_cell_angle_gamma 60.00
loop_
_symmetry_equiv_pos_as_xyz
'x,y,z'
loop_
_atom_site_label
_atom_site_type_symbol
_atom_site_fract_x
_atom_site_fract_y
_atom_site_fract_z
Bi1 Bi 0.089 0.089 0.733
Bi2 Bi 0.244 0.244 0.268
Hf1 Hf 0.499 0.499 0.504
Pu1 Pu 0.669 0.669 0.994
```

The volume is 29.95 Å³/atom. The energy of formation from the pure elements is -0.47 eV/f.u. As for the energy relative to the lowest polymorph listed for this composition: 37 meV/atom.

---

(2)
Density functional theory data (PBE-GGA) for crystalline LaTaTeI2 at its relaxed geometry.

Structure (CIF):
```
data_LaTaTeI2
_symmetry_space_group_name_H-M 'P 1'
_symmetry_Int_Tables_number 1
_cell_length_a 6.154
_cell_length_b 6.154
_cell_length_c 6.295
_cell_angle_alpha 90.00
_cell_angle_beta 90.00
_cell_angle_gamma 90.00
loop_
_symmetry_equiv_pos_as_xyz
'x,y,z'
loop_
_atom_site_label
_atom_site_type_symbol
_atom_site_fract_x
_atom_site_fract_y
_atom_site_fract_z
I1 I 0.500 0.000 0.000
I2 I 0.000 0.500 0.000
Ta1 Ta 0.500 0.500 0.500
La1 La 0.000 0.000 0.000
Te1 Te 0.000 0.000 0.500
```

The volume is 47.69 Å³/atom. Its energy relative to the elements, uncorrected is 2.47 eV per formula unit. As for the energy relative to the lowest polymorph listed for this composition: 479 meV/atom.

---

(3)
Density functional theory data (PBE-GGA) for crystalline TeHOs3 at its relaxed geometry.

Structure (CIF):
```
data_TeHOs3
_symmetry_space_group_name_H-M 'P 1'
_symmetry_Int_Tables_number 1
_cell_length_a 4.871
_cell_length_b 4.871
_cell_length_c 4.871
_cell_angle_alpha 90.00
_cell_angle_beta 90.00
_cell_angle_gamma 90.00
loop_
_symmetry_equiv_pos_as_xyz
'x,y,z'
loop_
_atom_site_label
_atom_site_type_symbol
_atom_site_fract_x
_atom_site_fract_y
_atom_site_fract_z
Te1 Te 0.000 0.000 0.000
Os1 Os 0.500 0.000 0.000
Os2 Os 0.000 0.500 0.000
Os3 Os 0.000 0.000 0.500
H1 H 0.500 0.500 0.500
```

The volume is 23.11 Å³/atom. As for the energy relative to the lowest polymorph listed for this composition: 2304 meV/atom.